# 1
## Sc2Fe5CoSi2 (PBE)

Data for Sc2Fe5CoSi2 after structural relaxation.

a = 9.0789 Å, b = 9.0789 Å, c = 3.2219 Å
α = 90.00°, β = 90.00°, γ = 90.00°
With the nearest neighbours (Å) after each atom.
Space group P4/mbm (No. 127)
Symmetry-distinct sites (fractional):
Sc  0.1716  0.3284  0.0000  3 Si 2.60-2.74, 2 Fe 2.73
Fe  0.0000  0.5000  0.5000  4 Si 2.28
Fe  0.0625  0.8020  0.5000  2 Si 2.34, 2 Co 2.48
Co  0.0000  0.0000  0.0000  8 Fe 2.48
Si  0.1262  0.6262  0.0000  6 Fe 2.28-2.34

The formation energy from raw total energies is -2.83 eV per formula unit. The density of states at the Fermi level comes out at 0.985 states/eV/atom. As for the volume: 265.6 Å³/cell.

# 2
## ScFeCoSi2 (PBE)

Data for ScFeCoSi2 after structural relaxation.

a = 3.8332 Å, b = 3.8332 Å, c = 9.3998 Å
α = 90.00°, β = 90.00°, γ = 90.00°
With the nearest neighbours (Å) after each atom.
Space group I-4m2 (No. 119)
Symmetry-distinct sites (fractional):
Sc  0.0000  0.0000  0.0000  8 Si 2.96, 4 Fe 3.03, 4 Co 3.03
Fe  0.0000  0.5000  0.2500  4 Si 2.24
Co  0.0000  0.5000  0.7500  4 Si 2.24
Si  0.0000  0.0000  0.3726  2 Fe 2.24, 2 Co 2.24, 1 Si 2.40

The formation energy from raw total energies is -3.59 eV per formula unit. The density of states at the Fermi level comes out at 0.519 states/eV/atom. As for the volume: 138.1 Å³/cell.

# 3
## TmScFeCo (PBE)

Data for TmScFeCo after structural relaxation.

a = 6.3884 Å, b = 6.3884 Å, c = 6.3884 Å
α = 90.00°, β = 90.00°, γ = 90.00°
With the nearest neighbours (Å) after each atom.
Space group F-43m (No. 216)
Symmetry-distinct sites (fractional):
Tm  0.0000  0.0000  0.0000  4 Fe 2.77, 4 Co 2.77
Sc  0.0000  0.0000  0.5000  4 Co 2.77, 4 Fe 2.77
Fe  0.2500  0.2500  0.7500  4 Tm 2.77, 4 Sc 2.77
Co  0.2500  0.2500  0.2500  4 Tm 2.77, 4 Sc 2.77

The density of states at the Fermi level comes out at 1.271 states/eV/atom. As for the volume: 260.7 Å³/cell. The value obtained for the formation energy is -0.09 eV/atom.

# 4
## Sc2VFe2Co5 (PBE)

Data for Sc2VFe2Co5 after structural relaxation.

a = 8.8535 Å, b = 8.8535 Å, c = 3.4110 Å
α = 90.00°, β = 90.00°, γ = 90.00°
With the nearest neighbours (Å) after each atom.
Space group P4/mbm (No. 127)
Symmetry-distinct sites (fractional):
Sc  0.1759  0.3241  0.0000  3 Fe 2.51-2.69, 2 Co 2.79
V  0.0000  0.0000  0.0000  8 Co 2.52
Fe  0.1237  0.6237  0.0000  6 Co 2.30-2.37, 1 Sc 2.51
Co  0.0000  0.5000  0.5000  4 Fe 2.30
Co  0.0613  0.7996  0.5000  2 Fe 2.37, 2 V 2.52, 2 Co 2.62

The density of states at the Fermi level comes out at 0.999 states/eV/atom. As for the volume: 267.4 Å³/cell. The value obtained for the formation energy is -0.06 eV/atom.

# 5
## ScZnFeCo (PBE)

Data for ScZnFeCo after structural relaxation.

a = 6.1291 Å, b = 6.1291 Å, c = 6.1291 Å
α = 90.00°, β = 90.00°, γ = 90.00°
With the nearest neighbours (Å) after each atom.
Space group F-43m (No. 216)
Symmetry-distinct sites (fractional):
Sc  0.0000  0.0000  0.0000  4 Zn 2.65, 4 Co 2.65
Zn  0.2500  0.2500  0.7500  4 Fe 2.65, 4 Sc 2.65
Fe  0.0000  0.0000  0.5000  4 Co 2.65, 4 Zn 2.65
Co  0.2500  0.2500  0.2500  4 Sc 2.65, 4 Fe 2.65

The density of states at the Fermi level comes out at 0.635 states/eV/atom. As for the volume: 230.2 Å³/cell. The value obtained for the formation energy is -0.08 eV/atom.

# 6
## Sc2ZnFe2Co5 (PBE)

Data for Sc2ZnFe2Co5 after structural relaxation.

a = 8.5120 Å, b = 8.5120 Å, c = 3.7006 Å
α = 90.00°, β = 90.00°, γ = 90.00°
With the nearest neighbours (Å) after each atom.
Space group P4/mbm (No. 127)
Symmetry-distinct sites (fractional):
Sc  0.1810  0.3190  0.0000  3 Fe 2.44-2.59
Zn  0.0000  0.0000  0.0000  8 Co 2.59
Fe  0.1163  0.6163  0.0000  6 Co 2.32-2.44, 3 Sc 2.44-2.59
Co  0.0000  0.5000  0.5000  4 Fe 2.32, 4 Co 2.57
Co  0.0603  0.7954  0.5000  2 Fe 2.44, 3 Co 2.57, 2 Zn 2.59

The density of states at the Fermi level comes out at 0.750 states/eV/atom. As for the volume: 268.1 Å³/cell. The value obtained for the formation energy is -0.08 eV/atom.

# 7
## FeCoSe2 (PBE)

Data for FeCoSe2 after structural relaxation.

a = 3.4461 Å, b = 3.4461 Å, c = 19.0619 Å
α = 90.00°, β = 90.00°, γ = 120.00°
With the nearest neighbours (Å) after each atom.
Space group R-3m (No. 166, hexagonal axes)
Symmetry-distinct sites (fractional):
Fe  0.0000  0.0000  0.0000  6 Se 2.57
Co  0.0000  0.0000  0.5000  6 Se 2.52
Se  0.0000  0.0000  0.2476  3 Co 2.52, 3 Fe 2.57

The formation energy from raw total energies is 0.15 eV per formula unit. The density of states at the Fermi level comes out at 1.798 states/eV/atom. As for the volume: 196.0 Å³/cell. Its energy relative to the lowest polymorph listed for this composition is 0.353 eV/atom.

# 8
## FeCoSe2 (PBE)

Data for FeCoSe2 after structural relaxation.

a = 4.3065 Å, b = 4.3065 Å, c = 3.0447 Å
α = 90.00°, β = 90.00°, γ = 90.00°
With the nearest neighbours (Å) after each atom.
Space group P4/mmm (No. 123)
Symmetry-distinct sites (fractional):
Fe  0.0000  0.0000  0.0000  8 Se 2.64
Co  0.5000  0.5000  0.0000  8 Se 2.64
Se  0.0000  0.5000  0.5000  4 Fe 2.64, 4 Co 2.64

The formation energy from raw total energies is 0.95 eV per formula unit. The density of states at the Fermi level comes out at 0.773 states/eV/atom. As for the volume: 56.5 Å³/cell. Its energy relative to the lowest polymorph listed for this composition is 0.553 eV/atom.

# 9
## FeCoSe2 (PBE)

Data for FeCoSe2 after structural relaxation.

a = 4.8458 Å, b = 3.2182 Å, c = 5.3365 Å
α = 90.00°, β = 90.67°, γ = 90.00°
With the nearest neighbours (Å) after each atom.
Space group P2/m (No. 10)
Symmetry-distinct sites (fractional):
Fe  0.0000  0.0000  0.0000  2 Co 2.42, 4 Se 2.44
Co  0.5000  0.0000  0.0000  4 Se 2.36, 2 Fe 2.42
Se  0.2616  0.5000  0.7557  2 Co 2.36, 2 Fe 2.44

The formation energy from raw total energies is 0.10 eV per formula unit. The density of states at the Fermi level comes out at 0.773 states/eV/atom. As for the volume: 83.2 Å³/cell. Its energy relative to the lowest polymorph listed for this composition is 0.341 eV/atom.

# 10
## FeCoSe3 (PBE)

Data for FeCoSe3 after structural relaxation.

a = 3.5084 Å, b = 18.5586 Å, c = 4.9253 Å
α = 90.00°, β = 90.00°, γ = 90.00°
With the nearest neighbours (Å) after each atom.
Space group Cmc2_1 (No. 36)
Symmetry-distinct sites (fractional):
Fe  0.0000  0.1729  0.0000  6 Se 2.36-2.39
Co  0.0000  0.4795  0.0035  5 Se 2.30-2.46
Se  0.0000  0.0552  0.8021  4 Co 2.38-2.46, 1 Fe 2.39
Se  0.0000  0.2866  0.2149  3 Fe 2.36-2.37
Se  0.0000  0.3711  0.7783  1 Co 2.30, 2 Fe 2.37

The formation energy from raw total energies is -1.38 eV per formula unit. The density of states at the Fermi level comes out at 0.756 states/eV/atom. As for the volume: 320.7 Å³/cell. Its energy relative to the lowest polymorph listed for this composition is 0.000 eV/atom.

# 11
## FeCoSe2 (PBE)

Data for FeCoSe2 after structural relaxation.

a = 3.4764 Å, b = 3.4764 Å, c = 11.4268 Å
α = 90.00°, β = 90.00°, γ = 90.00°
With the nearest neighbours (Å) after each atom.
Space group I-4m2 (No. 119)
Symmetry-distinct sites (fractional):
Fe  0.0000  0.0000  0.0000  4 Se 2.46
Co  0.0000  0.5000  0.2500  4 Se 2.46
Se  0.0000  0.0000  0.5000  4 Fe 2.46
Se  0.0000  0.5000  0.7500  4 Co 2.46

The formation energy from raw total energies is 1.52 eV per formula unit. The density of states at the Fermi level comes out at 1.262 states/eV/atom. As for the volume: 138.1 Å³/cell. Its energy relative to the lowest polymorph listed for this composition is 0.696 eV/atom.

# 12
## FeCoSe2 (PBE)

Data for FeCoSe2 after structural relaxation.

a = 6.1094 Å, b = 6.1094 Å, c = 6.1094 Å
α = 90.00°, β = 90.00°, γ = 90.00°
With the nearest neighbours (Å) after each atom.
Space group Fm-3m (No. 225)
Symmetry-distinct sites (fractional):
Fe  0.0000  0.0000  0.0000  8 Se 2.65
Co  0.0000  0.0000  0.5000  8 Se 2.65
Se  0.2500  0.2500  0.2500  4 Co 2.65, 4 Fe 2.65

The formation energy from raw total energies is 0.92 eV per formula unit. The density of states at the Fermi level comes out at 0.960 states/eV/atom. As for the volume: 228.0 Å³/cell. Its energy relative to the lowest polymorph listed for this composition is 0.547 eV/atom.

# 13
## FeCo3Se (PBE)

Data for FeCo3Se after structural relaxation.

a = 4.2765 Å, b = 4.2765 Å, c = 4.2765 Å
α = 90.00°, β = 90.00°, γ = 90.00°
With the nearest neighbours (Å) after each atom.
Space group Pm-3m (No. 221)
Symmetry-distinct sites (fractional):
Fe  0.0000  0.0000  0.0000  12 Co 3.02
Co  0.0000  0.5000  0.5000  2 Se 2.14
Se  0.5000  0.5000  0.5000  6 Co 2.14

The formation energy from raw total energies is 4.23 eV per formula unit. The density of states at the Fermi level comes out at 2.168 states/eV/atom. As for the volume: 78.2 Å³/cell. Its energy relative to the lowest polymorph listed for this composition is 0.000 eV/atom.